The following is a DFT calculation (PBE) of a geometry-optimized KSc2Br structure.

Lattice parameters (Å, degrees): 7.6368 7.6368 7.6368 146.68 146.68 47.83
Last column: nearest neighbours and their distance in Å.
Element x y z (fractional)
K 0.0000 0.0000 0.0000  4 Br 3.10
Sc 0.2500 0.7500 0.5000  4 Sc 3.10
Sc 0.7500 0.2500 0.5000  4 Sc 3.10
Br 0.5000 0.5000 0.0000  4 K 3.10

Output
As for the density of states at the Fermi level: 4.04 states/eV per cell. The total energy comes out at -0.2815 Ry per atom. For the total magnetic moment, the calculation gives 1.95 μB/f.u. As for the space group: I4/mmm (139). Its formation energy (no corrections) is 0.029 eV/atom. Its density is 2.59 Mg/m³. The volume is 33.46 A^3/atom.

---

The following is a DFT calculation (PBE) of a geometry-optimized KScBr2 structure.

Lattice parameters (Å, degrees): 8.1057 8.1057 8.1057 152.24 152.24 39.66
Last column: nearest neighbours and their distance in Å.
Element x y z (fractional)
K 0.0000 0.0000 0.0000  6 Br 3.28-3.34
Sc 0.7464 0.2464 0.5000  6 Br 2.85-2.94
Br 0.1779 0.6779 0.5000  4 Sc 2.94
Br 0.3828 0.3828 0.0000  2 Sc 2.85

Output
As for the density of states at the Fermi level: 1.81 states/eV per cell. The total energy comes out at -0.2743 Ry per atom. For the total magnetic moment, the calculation gives 1.68 μB/f.u. As for the space group: Imm2 (44). Its formation energy (no corrections) is -1.038 eV/atom. Its density is 3.51 Mg/m³. The volume is 28.83 A^3/atom.

---

The following is a DFT calculation (PBE) of a geometry-optimized KScBr3 structure.

Lattice parameters (Å, degrees): 9.2452 4.0170 15.9644 90.00 90.00 90.00
Last column: nearest neighbours and their distance in Å.
Element x y z (fractional)
K 0.0599 0.2500 0.1727  9 Br 3.39-3.79
K 0.4401 0.7500 0.6727  9 Br 3.39-3.79
K 0.5599 0.2500 0.3273  9 Br 3.39-3.79
K 0.9401 0.7500 0.8273  9 Br 3.39-3.79
Sc 0.1314 0.7500 0.4521  6 Br 2.73-2.80
Sc 0.3686 0.2500 0.9521  6 Br 2.73-2.80
Sc 0.6314 0.7500 0.0479  6 Br 2.73-2.80
Sc 0.8686 0.2500 0.5479  6 Br 2.73-2.80
Br 0.0418 0.7500 0.6153  3 Sc 2.73-2.79
Br 0.1760 0.7500 0.0018  2 Sc 2.80
Br 0.2309 0.2500 0.7981  1 Sc 2.77
Br 0.2691 0.7500 0.2981  1 Sc 2.77
Br 0.3240 0.2500 0.5018  2 Sc 2.80
Br 0.4582 0.2500 0.1153  3 Sc 2.73-2.79
Br 0.5418 0.7500 0.8847  3 Sc 2.73-2.79
Br 0.6760 0.7500 0.4982  2 Sc 2.80
Br 0.7309 0.2500 0.7019  1 Sc 2.77
Br 0.7691 0.7500 0.2019  1 Sc 2.77
Br 0.8240 0.2500 0.9982  2 Sc 2.80
Br 0.9582 0.2500 0.3847  3 Sc 2.73-2.79

Output
As for the density of states at the Fermi level: 6.09 states/eV per cell. The total energy comes out at -0.2997 Ry per atom. For the total magnetic moment, the calculation gives 1.01 μB/f.u. As for the space group: Pnma (62). Its formation energy (no corrections) is -1.588 eV/atom. Its density is 3.63 Mg/m³. The volume is 29.64 A^3/atom.

---

The following is a DFT calculation (PBE) of a geometry-optimized KScBr3 structure.

Lattice parameters (Å, degrees): 5.7711 5.7711 5.7711 90.00 90.00 90.00
Last column: nearest neighbours and their distance in Å.
Element x y z (fractional)
K 0.0000 0.0000 0.0000  6 Br 2.89
Sc 0.5000 0.5000 0.5000  12 Br 4.08
Br 0.0000 0.0000 0.5000  2 K 2.89
Br 0.0000 0.5000 0.0000  2 K 2.89
Br 0.5000 0.0000 0.0000  2 K 2.89

Output
As for the density of states at the Fermi level: 6.35 states/eV per cell. The total energy comes out at -0.2174 Ry per atom. For the total magnetic moment, the calculation gives 1.00 μB/f.u. As for the space group: Pm-3m (221). Its formation energy (no corrections) is -0.468 eV/atom. Its density is 2.80 Mg/m³. The volume is 38.44 A^3/atom.

---

The following is a DFT calculation (PBE) of a geometry-optimized KScBr2 structure.

Lattice parameters (Å, degrees): 9.7231 9.7231 9.7231 24.60 24.60 24.60
Last column: nearest neighbours and their distance in Å.
Element x y z (fractional)
K 0.0000 0.0000 0.0000  6 Br 3.19
Sc 0.5000 0.5000 0.5000  2 Br 2.60
Br 0.4080 0.4080 0.4080  1 Sc 2.60
Br 0.5920 0.5920 0.5920  1 Sc 2.60

Output
As for the density of states at the Fermi level: 2.49 states/eV per cell. The total energy comes out at -0.2761 Ry per atom. For the total magnetic moment, the calculation gives 0.05 μB/f.u. As for the space group: R-3m (166). Its formation energy (no corrections) is -1.063 eV/atom. Its density is 2.89 Mg/m³. The volume is 35.00 A^3/atom.

---

The following is a DFT calculation (PBE) of a geometry-optimized KSc2Br structure.

Lattice parameters (Å, degrees): 7.1511 7.1511 7.1511 152.64 135.74 52.82
Last column: nearest neighbours and their distance in Å.
Element x y z (fractional)
K 0.0000 0.0000 0.0000  4 Br 3.18, 2 K 3.38
Sc 0.2929 0.7929 0.5000  2 Br 3.15, 6 Sc 3.37-3.38
Sc 0.7071 0.2071 0.5000  2 Br 3.15, 6 Sc 3.37-3.38
Br 0.5000 0.5000 0.0000  4 Sc 3.15, 4 K 3.18, 2 Br 3.38

Output
As for the density of states at the Fermi level: 4.95 states/eV per cell. The total energy comes out at -0.2969 Ry per atom. For the total magnetic moment, the calculation gives 1.38 μB/f.u. As for the space group: Immm (71). Its formation energy (no corrections) is -0.181 eV/atom. Its density is 2.97 Mg/m³. The volume is 29.18 A^3/atom.

---

The following is a DFT calculation (PBE) of a geometry-optimized KScBr2 structure.

Lattice parameters (Å, degrees): 5.4802 5.4802 3.9583 90.00 90.00 90.00
Last column: nearest neighbours and their distance in Å.
Element x y z (fractional)
K 0.0000 0.0000 0.0000  8 Br 3.38
Sc 0.5000 0.5000 0.5000  4 Br 2.74
Br 0.0000 0.5000 0.5000  2 Sc 2.74
Br 0.5000 0.0000 0.5000  2 Sc 2.74

Output
As for the density of states at the Fermi level: 2.87 states/eV per cell. The total energy comes out at -0.2799 Ry per atom. For the total magnetic moment, the calculation gives 0.64 μB/f.u. As for the space group: P4/mmm (123). Its formation energy (no corrections) is -1.115 eV/atom. Its density is 3.41 Mg/m³. The volume is 29.72 A^3/atom.

---

The following is a DFT calculation (PBE) of a geometry-optimized KSc2Br structure.

Lattice parameters (Å, degrees): 11.2488 11.2488 11.2488 17.89 17.89 17.89
Last column: nearest neighbours and their distance in Å.
Element x y z (fractional)
K 0.0000 0.0000 0.0000  6 K 3.50
Sc 0.2316 0.2316 0.2316  3 Br 2.95
Sc 0.7684 0.7684 0.7684  3 Br 2.95
Br 0.5000 0.5000 0.5000  6 Sc 2.95

Output
As for the density of states at the Fermi level: 5.04 states/eV per cell. The total energy comes out at -0.2877 Ry per atom. For the total magnetic moment, the calculation gives 1.75 μB/f.u. As for the space group: R-3m (166). Its formation energy (no corrections) is -0.055 eV/atom. Its density is 2.96 Mg/m³. The volume is 29.31 A^3/atom.

---

- density of number 3 (KScBr3)?
  3.63 Mg/m³

---

- Number 3 is which compound?
  KScBr3